No. 1
# Nd3Y3Ho4, relaxed, DFT PBE-GGA
# ΔE_f: 0.08 eV/atom
# Crystal system: orthorhombic
data_Nd3Y3Ho4
_space_group_name_H-M_alt 'A m m 2'
_space_group_IT_number 38
_cell_length_a 3.6990
_cell_length_b 13.3481
_cell_length_c 13.4204
_cell_angle_alpha 90.00
_cell_angle_beta 90.00
_cell_angle_gamma 90.00
loop_
_space_group_symop_operation_xyz
'x,y,z'
'-x,-y,z'
'-x,y,z'
'x,-y,z'
'x,y+1/2,z+1/2'
'-x,-y+1/2,z+1/2'
'-x,y+1/2,z+1/2'
'x,-y+1/2,z+1/2'
loop_
_atom_site_label
_atom_site_type_symbol
_atom_site_fract_x
_atom_site_fract_y
_atom_site_fract_z
Nd1 Nd 0.0000 0.0000 0.0000
Nd2 Nd 0.0000 0.1737 0.6727
Y1 Y 0.0000 0.0000 0.3467
Y2 Y 0.5000 0.2466 0.4214
Ho1 Ho 0.5000 0.0000 0.5473
Ho2 Ho 0.5000 0.0000 0.7987
Ho3 Ho 0.5000 0.1248 0.1744



No. 2
# NdAl6Ag12, relaxed, DFT PBE-GGA
# ΔE_f: -0.03 eV/atom
# Crystal system: trigonal
data_NdAl6Ag12
_space_group_name_H-M_alt 'R -3 m'
_space_group_IT_number 166
_space_group_name_Hall '-R 3 2"'
_cell_length_a 11.8496
_cell_length_b 11.8496
_cell_length_c 9.0011
_cell_angle_alpha 90.00
_cell_angle_beta 90.00
_cell_angle_gamma 120.00
loop_
_atom_site_label
_atom_site_type_symbol
_atom_site_fract_x
_atom_site_fract_y
_atom_site_fract_z
Nd1 Nd 0.0000 0.0000 0.0000
Al1 Al 0.0483 0.5241 0.2496
Ag1 Ag 0.0000 0.3830 0.5000
Ag2 Ag 0.0834 0.1669 0.3095